Entry 1:
The following is a DFT calculation (PBE) of a relaxed Sc2GaTe crystal.

Calculated values
- energy relative to the lowest polymorph listed for this composition (eV/atom) = 0.000
- formation energy from raw total energies (eV/atom) = -0.903

Unit cell a=11.3451 b=11.3451 c=3.9537 alpha=90.00 beta=90.00 gamma=159.12
With the nearest neighbours (Å) after each atom.
Atoms (fractional coordinates):
Sc 0.0606 0.9394 0.7500  6 Ga 2.89-3.03, 1 Te 2.96
Sc 0.3370 0.6630 0.7500  1 Ga 2.77, 4 Te 2.93
Sc 0.6630 0.3370 0.2500  1 Ga 2.77, 4 Te 2.93
Sc 0.9394 0.0606 0.2500  6 Ga 2.89-3.03, 1 Te 2.96
Ga 0.4611 0.5389 0.7500  2 Ga 2.63, 5 Sc 2.77-2.89
Ga 0.5389 0.4611 0.2500  2 Ga 2.63, 5 Sc 2.77-2.89
Te 0.1931 0.8068 0.7500  6 Sc 2.93-3.21
Te 0.8068 0.1931 0.2500  6 Sc 2.93-3.21

***

Entry 2:
The following is a DFT calculation (PBE) of a relaxed BeClF2 crystal.

Calculated values
- energy relative to the lowest polymorph listed for this composition (eV/atom) = 1.801
- formation energy from raw total energies (eV/atom) = -0.282

Unit cell a=4.0796 b=4.0796 c=4.0796 alpha=60.00 beta=60.00 gamma=60.00
With the nearest neighbours (Å) after each atom.
Atoms (fractional coordinates):
Be 0.0000 0.0000 0.0000  8 F 2.50
Cl 0.5000 0.5000 0.5000  8 F 2.50
F 0.2500 0.2500 0.2500  4 Cl 2.50, 4 Be 2.50
F 0.7500 0.7500 0.7500  4 Be 2.50, 4 Cl 2.50

***

Entry 3:
The following is a DFT calculation (PBE) of a relaxed NaPdS crystal.

Calculated values
- formation energy from raw total energies (eV/atom) = -0.440

Unit cell a=5.5639 b=5.5639 c=5.5639 alpha=143.63 beta=143.63 gamma=52.38
With the nearest neighbours (Å) after each atom.
Atoms (fractional coordinates):
Na 0.0000 0.0000 0.0000  1 S 2.71, 1 Pd 2.74
Pd 0.2746 0.2746 0.0000  4 S 2.50, 1 Na 2.74
S 0.7288 0.7288 0.0000  4 Pd 2.50, 1 Na 2.71

***

Entry 4:
The following is a DFT calculation (PBE) of a relaxed CuBi2C crystal.

Calculated values
- E_form (eV/f.u.) = 3.67

Unit cell a=6.8478 b=6.8478 c=6.8478 alpha=128.75 beta=128.75 gamma=75.41
With the nearest neighbours (Å) after each atom.
Atoms (fractional coordinates):
Cu 0.0000 0.0000 0.0000  4 Bi 2.63
Cu 0.7500 0.2500 0.5000  4 Bi 2.63
Bi 0.1627 0.6250 0.0377  2 C 2.37, 2 Cu 2.63
Bi 0.3750 0.4127 0.5377  2 C 2.37, 2 Cu 2.63
Bi 0.5873 0.1250 0.9623  2 C 2.37, 2 Cu 2.63
Bi 0.8750 0.8373 0.4623  2 C 2.37, 2 Cu 2.63
C 0.2500 0.7500 0.5000  4 Bi 2.37
C 0.5000 0.5000 0.0000  4 Bi 2.37

***

Entry 5:
The following is a DFT calculation (PBE) of a relaxed AlGaSb2 crystal.

Calculated values
- energy relative to the lowest polymorph listed for this composition (eV/atom) = 0.339
- formation energy from raw total energies (eV/atom) = 0.176

Unit cell a=5.0731 b=5.0731 c=5.0731 alpha=60.00 beta=60.00 gamma=60.00
With the nearest neighbours (Å) after each atom.
Atoms (fractional coordinates):
Al 0.0000 0.0000 0.0000  8 Sb 3.11
Ga 0.5000 0.5000 0.5000  8 Sb 3.11
Sb 0.2500 0.2500 0.2500  4 Ga 3.11, 4 Al 3.11
Sb 0.7500 0.7500 0.7500  4 Al 3.11, 4 Ga 3.11

***

Entry 6:
The following is a DFT calculation (PBE) of a relaxed La5TbDyEr2 crystal.

Calculated values
- E_form (eV/f.u.) = 1.16

Unit cell a=11.2251 b=11.2251 c=10.6308 alpha=90.00 beta=90.00 gamma=151.68
With the nearest neighbours (Å) after each atom.
Atoms (fractional coordinates):
La 0.9997 0.0003 0.0000  2 Dy 3.44, 4 Er 3.69, 6 La 3.77-3.82
La 0.0003 0.9997 0.5000  2 Dy 3.44, 4 Er 3.69, 6 La 3.77-3.82
La 0.1234 0.8766 0.7498  1 Tb 3.60, 6 La 3.77-3.93, 4 Er 3.83
La 0.2196 0.7804 0.0589  1 Dy 3.30, 2 La 3.30, 3 Tb 3.41-3.63, 3 Er 3.65-3.68
La 0.2207 0.7793 0.4380  2 La 3.30, 1 Dy 3.30, 3 Tb 3.41-3.62, 3 Er 3.66-3.68
La 0.4993 0.5007 0.7499  2 Dy 3.50, 4 Er 3.61-3.64, 6 La 3.82-3.85
La 0.5007 0.4993 0.2499  2 Dy 3.50, 4 Er 3.61-3.64, 6 La 3.82-3.85
La 0.7793 0.2207 0.9380  2 La 3.30, 1 Dy 3.30, 3 Tb 3.41-3.62, 3 Er 3.66-3.68
La 0.7804 0.2196 0.5589  1 Dy 3.30, 2 La 3.30, 3 Tb 3.41-3.63, 3 Er 3.65-3.68
La 0.8766 0.1234 0.2498  1 Tb 3.60, 6 La 3.77-3.93, 4 Er 3.83
Tb 0.2888 0.7112 0.7487  2 Er 3.40-3.41, 7 La 3.41-3.63, 2 Dy 3.66
Tb 0.7112 0.2888 0.2487  2 Er 3.40-3.41, 7 La 3.41-3.63, 2 Dy 3.66
Dy 0.1002 0.8998 0.2498  6 La 3.30-3.50, 2 Tb 3.66
Dy 0.8998 0.1002 0.7498  6 La 3.30-3.50, 2 Tb 3.66
Er 0.3864 0.6136 0.9997  1 Tb 3.41, 7 La 3.62-3.69
Er 0.3872 0.6128 0.5000  1 Tb 3.40, 7 La 3.61-3.69
Er 0.6128 0.3872 0.0000  1 Tb 3.40, 7 La 3.61-3.69
Er 0.6136 0.3864 0.4997  1 Tb 3.41, 7 La 3.62-3.69

***

Entry 7:
The following is a DFT calculation (PBE) of a relaxed CoRe3 crystal.

Calculated values
- E_form (eV/f.u.) = 0.43

Unit cell a=4.6411 b=4.6411 c=4.6961 alpha=99.66 beta=99.66 gamma=34.25
With the nearest neighbours (Å) after each atom.
Atoms (fractional coordinates):
Co 0.0000 0.0000 0.0000  10 Re 2.66-2.72, 2 Co 2.73
Re 0.2529 0.2529 0.7600  9 Re 2.64-2.79, 3 Co 2.66-2.68
Re 0.5000 0.5000 0.5000  8 Re 2.69-2.73, 4 Co 2.72
Re 0.7471 0.7471 0.2400  9 Re 2.64-2.79, 3 Co 2.66-2.68

***

Entry 8:
The following is a DFT calculation (PBE) of a relaxed YCdGa2Pd5 crystal.

Calculated values
- E_form (eV/f.u.) = -5.41

Unit cell a=4.1609 b=4.1609 c=9.3177 alpha=90.00 beta=90.00 gamma=90.00
With the nearest neighbours (Å) after each atom.
Atoms (fractional coordinates):
Y 0.0000 0.0000 0.0000  12 Pd 2.94
Cd 0.0000 0.0000 0.5000  8 Ga 3.19, 8 Pd 3.31
Ga 0.5000 0.5000 0.3686  1 Ga 2.45, 4 Pd 2.48
Ga 0.5000 0.5000 0.6314  1 Ga 2.45, 4 Pd 2.48
Pd 0.0000 0.5000 0.2233  2 Ga 2.48
Pd 0.0000 0.5000 0.7767  2 Ga 2.48
Pd 0.5000 0.0000 0.2233  2 Ga 2.48
Pd 0.5000 0.0000 0.7767  2 Ga 2.48
Pd 0.5000 0.5000 0.0000  4 Y 2.94, 8 Pd 2.94

***

Entry 9:
The following is a DFT calculation (PBE) of a relaxed Pr3Zn8Ag3 crystal.

Calculated values
- E_form (eV/f.u.) = -4.24

Unit cell a=8.4777 b=8.4777 c=8.4777 alpha=148.91 beta=116.06 gamma=72.80
With the nearest neighbours (Å) after each atom.
Atoms (fractional coordinates):
Pr 0.0000 0.0000 0.0000  12 Zn 3.13-3.46, 4 Ag 3.48
Pr 0.2995 0.2995 0.0000  12 Zn 3.13-3.35, 2 Ag 3.31
Pr 0.7005 0.7005 0.0000  12 Zn 3.13-3.35, 2 Ag 3.31
Zn 0.0279 0.6678 0.3601  4 Zn 2.51-2.75, 1 Ag 2.67
Zn 0.1423 0.8626 0.2798  3 Zn 2.63-2.75, 1 Ag 2.73
Zn 0.3078 0.6678 0.6399  4 Zn 2.51-2.75, 1 Ag 2.67
Zn 0.4172 0.1374 0.2798  3 Zn 2.63-2.75, 1 Ag 2.73
Zn 0.5828 0.8626 0.7202  3 Zn 2.63-2.75, 1 Ag 2.73
Zn 0.6922 0.3322 0.3601  4 Zn 2.51-2.75, 1 Ag 2.67
Zn 0.8577 0.1374 0.7202  3 Zn 2.63-2.75, 1 Ag 2.73
Zn 0.9721 0.3322 0.6399  4 Zn 2.51-2.75, 1 Ag 2.67
Ag 0.2929 0.5000 0.7929  6 Zn 2.67-2.95, 2 Ag 2.94
Ag 0.5000 0.0000 0.5000  4 Zn 2.73, 4 Ag 2.94
Ag 0.7071 0.5000 0.2071  6 Zn 2.67-2.95, 2 Ag 2.94

***

Entry 10:
The following is a DFT calculation (PBE) of a relaxed Sm2TlIr2 crystal.

Calculated values
- E_form (eV/f.u.) = -2.79

Unit cell a=5.6658 b=5.6658 c=5.6658 alpha=132.93 beta=115.92 gamma=83.21
With the nearest neighbours (Å) after each atom.
Atoms (fractional coordinates):
Sm 0.2072 0.2072 0.0000  6 Ir 3.03-3.13, 2 Tl 3.36
Sm 0.7928 0.7928 0.0000  6 Ir 3.03-3.13, 2 Tl 3.36
Tl 0.5000 0.0000 0.5000  4 Ir 2.85
Ir 0.2105 0.5000 0.7105  1 Ir 2.53
Ir 0.7895 0.5000 0.2895  1 Ir 2.53

***

Entry 11:
The following is a DFT calculation (PBE) of a relaxed InMo2Pt crystal.

Calculated values
- E_form (eV/f.u.) = 0.26

Unit cell a=5.1711 b=5.1711 c=5.1711 alpha=140.55 beta=127.87 gamma=67.29
With the nearest neighbours (Å) after each atom.
Atoms (fractional coordinates):
In 0.0000 0.0000 0.0000  4 Pt 2.79-3.12, 8 Mo 2.87-3.03
Mo 0.2678 0.7678 0.5000  2 Mo 2.56
Mo 0.4848 0.4848 0.0000  2 Mo 2.56, 2 Pt 2.86
Pt 0.7476 0.2476 0.5000  4 In 2.79-3.12, 8 Mo 2.86-3.06

***

Entry 12:
The following is a DFT calculation (PBE) of a relaxed PrY4Ho4 crystal.

Calculated values
- E_form (eV/f.u.) = 0.22

Unit cell a=7.9798 b=7.9798 c=7.9798 alpha=95.72 beta=95.72 gamma=143.20
With the nearest neighbours (Å) after each atom.
Atoms (fractional coordinates):
Pr 0.0000 0.0000 0.0000  8 Y 3.58, 4 Ho 3.59
Y 0.3323 0.3323 0.6645  4 Y 3.54-3.59, 6 Ho 3.56-3.58, 2 Pr 3.58
Y 0.3323 0.6677 0.0000  4 Y 3.54-3.59, 6 Ho 3.56-3.58, 2 Pr 3.58
Y 0.6677 0.3323 0.0000  4 Y 3.54-3.59, 6 Ho 3.56-3.58, 2 Pr 3.58
Y 0.6677 0.6677 0.3355  4 Y 3.54-3.59, 6 Ho 3.56-3.58, 2 Pr 3.58
Ho 0.0000 0.3356 0.3356  5 Ho 3.52-3.54, 6 Y 3.56-3.58, 1 Pr 3.59
Ho 0.0000 0.6644 0.6644  5 Ho 3.52-3.54, 6 Y 3.56-3.58, 1 Pr 3.59
Ho 0.3356 0.0000 0.3356  5 Ho 3.52-3.54, 6 Y 3.56-3.58, 1 Pr 3.59
Ho 0.6644 0.0000 0.6644  5 Ho 3.52-3.54, 6 Y 3.56-3.58, 1 Pr 3.59

***

Entry 13:
The following is a DFT calculation (PBE) of a relaxed InMoSe4 crystal.

Calculated values
- formation energy from raw total energies (eV/atom) = 0.828

Unit cell a=5.8218 b=5.8218 c=5.8218 alpha=60.00 beta=60.00 gamma=60.00
With the nearest neighbours (Å) after each atom.
Atoms (fractional coordinates):
In 0.0000 0.0000 0.0000  12 Se 3.42, 4 Mo 3.57
Mo 0.7500 0.7500 0.7500  12 Se 3.41, 4 In 3.57
Se 0.3758 0.3758 0.3758  6 Se 2.89-2.93
Se 0.3758 0.3758 0.8725  6 Se 2.89-2.93
Se 0.3758 0.8725 0.3758  6 Se 2.89-2.93
Se 0.8725 0.3758 0.3758  6 Se 2.89-2.93

***

Entry 14:
The following is a DFT calculation (PBE) of a relaxed DyP3Ir5 crystal.

Calculated values
- E_form (eV/f.u.) = -5.05

Unit cell a=6.3684 b=6.3684 c=12.2870 alpha=90.00 beta=90.00 gamma=144.19
With the nearest neighbours (Å) after each atom.
Atoms (fractional coordinates):
Dy 0.1505 0.8495 0.7500  7 P 3.16-3.40, 8 Ir 3.28-3.53
Dy 0.8495 0.1505 0.2500  7 P 3.16-3.40, 8 Ir 3.28-3.53
P 0.1204 0.8796 0.2500  6 Ir 2.37-2.47
P 0.3941 0.6059 0.0525  5 Ir 2.20-2.43
P 0.3941 0.6059 0.4475  5 Ir 2.20-2.43
P 0.6059 0.3941 0.5525  5 Ir 2.20-2.43
P 0.6059 0.3941 0.9475  5 Ir 2.20-2.43
P 0.8796 0.1204 0.7500  6 Ir 2.37-2.47
Ir 0.0000 0.0000 0.0000  4 P 2.43
Ir 0.0000 0.0000 0.5000  4 P 2.43
Ir 0.2154 0.7846 0.0815  2 P 2.20-2.37
Ir 0.2154 0.7846 0.4185  2 P 2.20-2.37
Ir 0.4349 0.5651 0.6400  4 P 2.33-2.47
Ir 0.4349 0.5651 0.8600  4 P 2.33-2.47
Ir 0.5651 0.4349 0.1400  4 P 2.33-2.47
Ir 0.5651 0.4349 0.3600  4 P 2.33-2.47
Ir 0.7846 0.2154 0.5815  2 P 2.20-2.37
Ir 0.7846 0.2154 0.9185  2 P 2.20-2.37

***

Entry 15:
The following is a DFT calculation (PBE) of a relaxed Zn2FeCo crystal.

Calculated values
- energy relative to the lowest polymorph listed for this composition (eV/atom) = 0.046
- E_form (eV/f.u.) = 0.15

Unit cell a=4.8454 b=4.8454 c=4.8454 alpha=144.86 beta=128.69 gamma=63.71
With the nearest neighbours (Å) after each atom.
Atoms (fractional coordinates):
Zn 0.0000 0.0000 0.0000  2 Co 2.55, 4 Fe 2.56, 2 Zn 2.60
Zn 0.7389 0.2389 0.5000  4 Co 2.56, 2 Fe 2.59, 2 Zn 2.60
Fe 0.4792 0.4792 0.0000  2 Co 2.36, 6 Zn 2.56-2.59
Co 0.2538 0.7538 0.5000  2 Fe 2.36, 6 Zn 2.55-2.56

***

Entry 16:
The following is a DFT calculation (PBE) of a relaxed Mg12TlPb3 crystal.

Calculated values
- E_form (eV/f.u.) = -0.83

Unit cell a=4.5342 b=4.5342 c=18.4360 alpha=90.00 beta=90.00 gamma=90.00
With the nearest neighbours (Å) after each atom.
Atoms (fractional coordinates):
Mg 0.0000 0.0000 0.0000  8 Mg 3.20, 4 Tl 3.21
Mg 0.0000 0.0000 0.2490  4 Pb 3.21, 8 Mg 3.23-3.25
Mg 0.0000 0.0000 0.5000  4 Pb 3.21, 8 Mg 3.25
Mg 0.0000 0.0000 0.7510  4 Pb 3.21, 8 Mg 3.23-3.25
Mg 0.0000 0.5000 0.1227  2 Tl 3.20, 8 Mg 3.20-3.25, 2 Pb 3.24
Mg 0.0000 0.5000 0.3740  8 Mg 3.21-3.25, 4 Pb 3.24-3.25
Mg 0.0000 0.5000 0.6260  8 Mg 3.21-3.25, 4 Pb 3.24-3.25
Mg 0.0000 0.5000 0.8773  2 Tl 3.20, 8 Mg 3.20-3.25, 2 Pb 3.24
Mg 0.5000 0.0000 0.1227  2 Tl 3.20, 8 Mg 3.20-3.25, 2 Pb 3.24
Mg 0.5000 0.0000 0.3740  8 Mg 3.21-3.25, 4 Pb 3.24-3.25
Mg 0.5000 0.0000 0.6260  8 Mg 3.21-3.25, 4 Pb 3.24-3.25
Mg 0.5000 0.0000 0.8773  2 Tl 3.20, 8 Mg 3.20-3.25, 2 Pb 3.24
Tl 0.5000 0.5000 0.0000  12 Mg 3.20-3.21
Pb 0.5000 0.5000 0.2485  12 Mg 3.21-3.24
Pb 0.5000 0.5000 0.5000  12 Mg 3.21-3.25
Pb 0.5000 0.5000 0.7515  12 Mg 3.21-3.24

***

Entry 17:
The following is a DFT calculation (PBE) of a relaxed CdPtAu2 crystal.

Calculated values
- E_form (eV/f.u.) = 0.09

Unit cell a=10.3441 b=10.3441 c=10.3441 alpha=158.01 beta=158.01 gamma=31.30
With the nearest neighbours (Å) after each atom.
Atoms (fractional coordinates):
Cd 0.0000 0.0000 0.0000  4 Pt 2.79, 4 Au 2.86
Cd 0.7500 0.2500 0.5000  4 Pt 2.79, 4 Au 2.86
Pt 0.2500 0.7500 0.5000  4 Cd 2.79, 4 Au 2.85
Pt 0.5000 0.5000 0.0000  4 Cd 2.79, 4 Au 2.85
Au 0.1311 0.6250 0.0061  4 Au 2.76-2.82, 2 Pt 2.85, 2 Cd 2.86
Au 0.3750 0.3811 0.5061  4 Au 2.76-2.82, 2 Pt 2.85, 2 Cd 2.86
Au 0.6189 0.1250 0.9939  4 Au 2.76-2.82, 2 Pt 2.85, 2 Cd 2.86
Au 0.8750 0.8689 0.4939  4 Au 2.76-2.82, 2 Pt 2.85, 2 Cd 2.86

***

Entry 18:
The following is a DFT calculation (PBE) of a relaxed BeBOsRu crystal.

Calculated values
- E_form (eV/f.u.) = -0.74

Unit cell a=3.5949 b=4.2839 c=4.2839 alpha=38.71 beta=90.00 gamma=90.00
With the nearest neighbours (Å) after each atom.
Atoms (fractional coordinates):
Be 0.0000 0.0000 0.0000  2 B 2.20, 3 Os 2.27, 4 Ru 2.34
B 0.5000 0.8431 0.8431  2 Be 2.20, 3 Ru 2.26-2.28, 4 Os 2.35
Os 0.0000 0.2810 0.2810  3 Be 2.27, 4 B 2.35
Ru 0.5000 0.5612 0.5612  3 B 2.26-2.28, 4 Be 2.34

***

Entry 19:
The following is a DFT calculation (PBE) of a relaxed CdMo2Au crystal.

Calculated values
- E_form (eV/f.u.) = 1.43

Unit cell a=5.3217 b=5.3217 c=2.7451 alpha=90.08 beta=90.08 gamma=118.19
With the nearest neighbours (Å) after each atom.
Atoms (fractional coordinates):
Cd 0.0000 0.0000 0.0000  2 Au 2.73, 2 Cd 2.75, 8 Mo 2.99-3.00
Mo 0.0000 0.5000 0.5000  4 Mo 2.73-2.75, 4 Au 2.99-3.00, 4 Cd 2.99-3.00
Mo 0.5000 0.0000 0.5000  4 Mo 2.73-2.75, 4 Au 2.99-3.00, 4 Cd 2.99-3.00
Au 0.5000 0.5000 0.0000  2 Cd 2.73, 2 Au 2.75, 8 Mo 2.99-3.00

***

Entry 20:
The following is a DFT calculation (PBE) of a relaxed RbNa2Cd3 crystal.

Calculated values
- energy relative to the lowest polymorph listed for this composition (eV/atom) = 0.000
- E_form (eV/f.u.) = -0.28

Unit cell a=7.1796 b=7.1796 c=8.2818 alpha=105.00 beta=105.00 gamma=80.94
With the nearest neighbours (Å) after each atom.
Atoms (fractional coordinates):
Rb 0.0107 0.9893 0.7500  4 Na 3.71-3.90, 5 Cd 3.88-4.02, 2 Rb 4.15
Rb 0.9893 0.0107 0.2500  4 Na 3.71-3.90, 5 Cd 3.88-4.02, 2 Rb 4.15
Na 0.1479 0.5037 0.3573  6 Cd 3.22-3.32, 1 Na 3.58
Na 0.4963 0.8521 0.1427  6 Cd 3.22-3.32, 1 Na 3.58
Na 0.5037 0.1479 0.8573  6 Cd 3.22-3.32, 1 Na 3.58
Na 0.8521 0.4963 0.6427  6 Cd 3.22-3.32, 1 Na 3.58
Cd 0.1994 0.5126 0.9841  3 Cd 2.98-3.09, 4 Na 3.22-3.28
Cd 0.4271 0.5729 0.7500  4 Cd 2.99-3.09, 4 Na 3.31-3.32
Cd 0.4874 0.8006 0.5159  3 Cd 2.98-3.09, 4 Na 3.22-3.28
Cd 0.5126 0.1994 0.4841  3 Cd 2.98-3.09, 4 Na 3.22-3.28
Cd 0.5729 0.4271 0.2500  4 Cd 2.99-3.09, 4 Na 3.31-3.32
Cd 0.8006 0.4874 0.0159  3 Cd 2.98-3.09, 4 Na 3.22-3.28

***

| no. | D(E_F) (states/eV/atom) |
| --- | --- |
| 1 | 0.76 |
| 2 | 0.79 |
| 3 | 0.72 |
| 4 | 0.30 |
| 5 | 0.72 |
| 6 | 1.56 |
| 7 | 1.22 |
| 8 | 0.29 |
| 9 | 0.53 |
| 10 | 0.69 |
| 11 | 0.85 |
| 12 | 1.49 |
| 13 | 0.58 |
| 14 | 0.50 |
| 15 | 0.72 |
| 16 | 0.36 |
| 17 | 0.35 |
| 18 | 0.62 |
| 19 | 0.60 |
| 20 | 0.36 |